(1)
A plane-wave DFT calculation with PBE-GGA was carried out for crystalline NdHoSbO2 at its relaxed geometry.

Cell lengths 3.9158, 3.9158, 7.3354 Å; angles 105.48, 105.48, 90.00 degrees
Closest atoms and distances in Å follow each position.
Sites, in units of the cell vectors:
O 0.2454 0.7454 0.4907  2 Ho 2.23, 2 Nd 2.33
O 0.7454 0.2454 0.4907  2 Ho 2.23, 2 Nd 2.33
Sb 0.5041 0.5041 0.0083  4 Ho 3.55, 4 Nd 3.57, 4 O 3.82, 4 Sb 3.92
Ho 0.1674 0.1674 0.3348  4 O 2.23
Nd 0.8378 0.8378 0.6755  4 O 2.33

Values from the calculation:
Total magnetization   0.00 μB/f.u.
Crystal system   tetragonal
Uncorrected formation energy   -2650 meV per atom
Total DFT energy (no corrections)   -7.3269 eV/atom

(2)
A plane-wave DFT calculation with PBE-GGA was carried out for crystalline UCdBi2 at its relaxed geometry.

Cell lengths 4.5992, 4.5992, 7.4942 Å; angles 72.13, 72.13, 60.00 degrees
Closest atoms and distances in Å follow each position.
Sites, in units of the cell vectors:
Bi 0.0818 0.0818 0.7547  3 U 3.16, 3 Cd 3.18
Bi 0.2532 0.2532 0.2405  3 U 3.14, 3 Cd 3.24
U 0.6665 0.6665 0.0004  6 Bi 3.14-3.16
Cd 0.4986 0.4986 0.5043  6 Bi 3.18-3.24, 1 U 3.53

Values from the calculation:
Total magnetization   2.37 μB/f.u.
Crystal system   trigonal
Energy relative to the elements   0.92 eV per formula unit
Total DFT energy (no corrections)   -4.7616 eV/atom